Record 1
First-principles (PBE) data for a relaxed AcTlSe2 crystal, as listed in Alexandria.

**Raw formation energy**: -1.412 eV/atom
**Magnetization**: 0.0 μB/f.u.
**Theoretical density**: 6.93 g/cm³

```
4
Lattice="4.555 0.000 0.000 2.278 3.945 0.000 2.278 1.315 7.857" Properties=species:S:1:pos:R:3 pbc="T T T"
Tl 4.555 2.630 4.038
Ac 6.833 3.945 7.853
Se 2.278 1.315 1.640
Se 2.278 1.315 6.112
```



Record 2
First-principles (PBE) data for a relaxed Ac2TlSe crystal, as listed in Alexandria.

**Raw formation energy**: -1.057 eV/atom
**Magnetization**: 0.0 μB/f.u.
**Theoretical density**: 8.54 g/cm³

```
4
Lattice="4.470 0.000 0.000 2.235 3.871 0.000 2.235 1.290 8.281" Properties=species:S:1:pos:R:3 pbc="T T T"
Tl 4.470 2.581 4.141
Se 0.000 0.000 0.000
Ac 2.235 1.290 1.898
Ac 6.706 3.871 6.383
```



Record 3
First-principles (PBE) data for a relaxed AcTlSe2 crystal, as listed in Alexandria.

**Raw formation energy**: -1.265 eV/atom
**Magnetization**: 0.0 μB/f.u.
**Theoretical density**: 8.13 g/cm³

```
4
Lattice="3.905 0.000 0.000 0.000 3.905 0.000 0.000 0.000 7.888" Properties=species:S:1:pos:R:3 pbc="T T T"
Se 0.000 0.000 1.752
Ac 1.953 1.953 0.000
Se 0.000 0.000 6.136
Tl 1.953 1.953 3.944
```



Record 4
First-principles (PBE) data for a relaxed Ac6TlSe5 crystal, as listed in Alexandria.

**Raw formation energy**: -1.605 eV/atom
**Magnetization**: 0.0 μB/f.u.
**Theoretical density**: 8.18 g/cm³

```
12
Lattice="-3.670 6.941 0.469 0.608 2.785 7.347 6.090 4.566 1.992" Properties=species:S:1:pos:R:3 pbc="T T T"
Ac 3.658 7.329 8.166
Se 4.462 4.898 6.227
Ac -0.770 2.457 1.986
Tl 0.000 0.000 0.000
Ac -2.292 7.269 5.830
Ac 1.545 9.382 4.771
Ac -0.630 6.963 1.641
Se 2.353 6.993 2.779
Ac 1.482 4.910 5.037
Se -1.531 4.863 3.908
Se 2.237 2.452 3.112
Se 0.675 7.299 7.029
```



Record 5
First-principles (PBE) data for a relaxed Ac5TlSe8 crystal, as listed in Alexandria.

**Raw formation energy**: -1.879 eV/atom
**Magnetization**: 0.0 μB/f.u.
**Theoretical density**: 7.77 g/cm³

```
14
Lattice="8.179 0.040 -0.068 -2.730 7.710 0.068 -2.719 -3.879 6.668" Properties=species:S:1:pos:R:3 pbc="T T T"
Ac 0.012 -2.924 6.566
Ac 2.704 2.352 4.204
Ac 4.028 5.874 1.686
Se -1.156 5.705 0.282
Se 0.310 3.660 5.865
Ac 2.730 -1.919 3.300
Ac -1.284 2.440 0.880
Se 5.686 -2.085 4.751
Se 1.728 -0.336 5.853
Se 0.620 0.463 2.438
Tl -1.360 0.956 5.018
Se 1.659 3.745 1.610
Se 4.559 0.501 2.391
Se -2.486 3.832 3.482
```



Record 6
First-principles (PBE) data for a relaxed AcTl5Se4 crystal, as listed in Alexandria.

**Raw formation energy**: -0.789 eV/atom
**Magnetization**: 0.0 μB/f.u.
**Theoretical density**: 7.31 g/cm³

```
10
Lattice="4.525 0.000 0.000 0.000 8.671 -1.351 -2.262 -2.652 9.477" Properties=species:S:1:pos:R:3 pbc="T T T"
Tl 2.262 4.317 4.814
Se 2.262 3.896 7.778
Se 0.000 2.123 0.348
Tl 2.262 4.336 -0.675
Tl 0.000 1.702 3.311
Ac 2.262 0.000 0.000
Tl 2.262 -0.166 6.322
Se 0.000 6.433 5.045
Tl 0.000 6.185 1.804
Se 2.262 -0.414 3.081
```



Record 7
First-principles (PBE) data for a relaxed AcTlSe3 crystal, as listed in Alexandria.

**Raw formation energy**: -1.072 eV/atom
**Magnetization**: 0.0 μB/f.u.
**Theoretical density**: 7.11 g/cm³

```
20
Lattice="-4.690 2.092 -4.111 -2.096 -8.411 -1.889 -6.445 2.444 8.597" Properties=species:S:1:pos:R:3 pbc="T T T"
Se -10.377 1.919 3.485
Ac -7.614 -1.867 5.380
Se -6.307 0.204 3.233
Se -10.095 -0.676 3.543
Tl -6.163 -6.528 -4.493
Ac -5.617 -2.009 -2.783
Se -6.025 -4.298 4.148
Se -3.136 -3.199 -0.946
Tl -5.167 -2.653 1.607
Se -7.206 0.422 -1.551
Se -2.854 -5.794 -0.889
Se -6.923 -4.079 -0.636
Ac -9.643 -5.101 0.785
Se -6.061 2.413 -0.017
Se -9.612 -3.393 3.437
Se -7.170 -6.288 2.614
Tl -8.064 -1.223 0.990
Se -3.619 -0.482 -0.840
Tl -7.068 2.653 7.089
Ac -3.588 1.226 1.812
```



Record 8
First-principles (PBE) data for a relaxed AcTlSe2 crystal, as listed in Alexandria.

**Raw formation energy**: -1.248 eV/atom
**Magnetization**: 0.0 μB/f.u.
**Theoretical density**: 8.78 g/cm³

```
4
Lattice="-0.171 -2.889 -2.752 3.991 -2.508 2.384 -3.452 -2.649 2.994" Properties=species:S:1:pos:R:3 pbc="T T T"
Ac 0.184 -4.023 1.313
Tl -0.085 -1.444 -1.376
Se -1.726 -1.324 1.497
Se 1.996 -1.254 1.192
```



Record 9
First-principles (PBE) data for a relaxed Ac5Tl12Se3 crystal, as listed in Alexandria.

**Raw formation energy**: 0.112 eV/atom
**Magnetization**: 0.0 μB/f.u.
**Theoretical density**: 7.86 g/cm³

```
80
Lattice="-10.245 10.293 -7.022 -4.444 -15.139 -3.355 -0.217 2.253 15.971" Properties=species:S:1:pos:R:3 pbc="T T T"
Tl -7.712 3.045 9.884
Tl -11.740 1.779 7.040
Tl -6.976 5.828 -0.816
Se -5.332 -10.270 8.165
Se -8.232 2.446 6.332
Se -7.595 3.493 0.762
Ac -2.222 -7.570 -1.678
Tl -9.708 -3.557 3.782
Ac -6.477 -10.392 -2.695
Ac -5.122 5.146 -3.511
Tl -1.891 -0.766 2.646
Tl -3.051 -4.002 11.283
Ac -4.363 -1.696 6.968
Se -3.198 1.526 3.814
Tl -8.582 -3.098 0.220
Tl -10.168 -5.764 -0.021
Ac -7.345 -2.423 -5.188
Tl -5.409 -12.406 1.828
Tl -7.929 -8.421 6.410
Tl -13.560 -1.618 -0.107
Tl -2.304 1.695 10.439
Ac -3.001 -3.827 1.857
Tl -10.403 -1.163 -4.711
Tl -3.880 -7.096 9.196
Tl -9.497 9.813 3.766
Ac -0.108 1.126 7.986
Tl -10.379 10.040 6.741
Se -7.310 -6.086 4.832
Tl -9.865 -6.660 3.622
Tl -9.626 2.290 -0.897
Tl -8.739 1.788 2.788
Ac -4.695 -9.223 2.595
Tl -2.088 2.930 13.287
Ac -4.560 3.657 8.926
Tl -6.167 -4.381 2.806
Ac -10.543 -0.897 -1.374
Tl -5.040 4.067 1.972
Ac -8.429 7.799 8.289
Tl -9.404 4.629 7.809
Tl -11.854 1.409 -5.689
Ac -4.980 0.357 -1.476
Tl -12.818 -5.523 -7.692
Tl -11.026 4.503 -3.601
Tl -3.166 -4.373 -1.445
Ac -5.231 6.273 4.475
Tl -7.134 2.594 -2.735
Tl -4.526 -12.633 -1.146
Tl -13.014 -1.828 2.948
Se -11.708 -4.119 1.780
Ac -7.453 -1.297 2.797
Ac -9.926 -2.950 7.070
Tl -6.894 -7.027 1.341
Ac -2.330 -6.443 6.308
Tl -1.346 -0.975 5.702
Tl -6.612 -8.387 9.936
Se -6.674 -5.039 -0.737
Se -2.581 -0.527 12.258
Se -9.574 7.677 -2.570
Tl -8.294 5.794 -4.341
Tl -10.038 5.981 -0.284
Se -5.528 -4.917 10.122
Tl -7.194 -5.638 -4.289
Ac -10.346 -6.250 -3.332
Tl -4.868 -8.574 5.878
Tl -5.502 -7.222 -2.215
Ac 0.000 0.000 0.000
Tl -5.280 -4.883 6.491
Tl -7.772 -5.187 8.329
Se -12.325 -2.066 -6.664
Tl -5.717 -2.808 -2.296
Tl -6.324 0.505 5.375
Tl -5.198 0.964 1.813
Ac -10.211 6.630 2.999
Se -9.377 2.324 -4.528
Tl -4.738 3.171 5.615
Tl -12.602 -4.288 -4.845
Tl -8.012 4.434 4.253
Tl -9.189 0.214 7.890
Tl -4.503 -1.430 10.306
Ac -11.904 1.234 3.737
```



Record 10
First-principles (PBE) data for a relaxed Ac2TlSe3 crystal, as listed in Alexandria.

**Raw formation energy**: -1.347 eV/atom
**Magnetization**: 0.0 μB/f.u.
**Theoretical density**: 7.87 g/cm³

```
6
Lattice="4.009 0.000 0.000 0.000 5.408 0.000 -2.005 -2.704 8.711" Properties=species:S:1:pos:R:3 pbc="T T T"
Ac 0.000 0.000 6.175
Se 2.005 2.704 5.600
Se 0.000 0.000 3.111
Ac 2.005 2.704 2.536
Se 0.000 2.704 0.000
Tl 0.000 0.000 0.000
```



Record 11
First-principles (PBE) data for a relaxed AcTlSe2 crystal, as listed in Alexandria.

**Raw formation energy**: -1.440 eV/atom
**Magnetization**: 0.0 μB/f.u.
**Theoretical density**: 7.01 g/cm³

```
4
Lattice="-1.118 -4.220 -1.366 2.791 -3.509 0.901 -3.098 -3.767 6.522" Properties=species:S:1:pos:R:3 pbc="T T T"
Tl -0.713 -5.748 3.029
Se -0.238 -2.835 1.299
Se -1.187 -8.661 4.759
Ac 0.000 0.000 0.000
```



Record 12
First-principles (PBE) data for a relaxed Ac3TmTl4Se8 crystal, as listed in Alexandria.

**Raw formation energy**: -1.405 eV/atom
**Magnetization**: 0.0 μB/f.u.
**Theoretical density**: 7.14 g/cm³

```
16
Lattice="-2.583 5.548 -6.508 -8.896 -1.979 1.843 5.195 2.993 6.622" Properties=species:S:1:pos:R:3 pbc="T T T"
Se -4.549 1.210 2.838
Ac -3.142 3.281 0.979
Se -3.120 0.823 -0.940
Ac -1.851 0.507 4.233
Tl -1.292 2.774 -3.254
Tl 2.597 1.497 3.311
Se -0.455 2.443 2.263
Tl 0.000 0.000 0.000
Se -4.490 3.766 -4.391
Tl 1.306 4.271 0.057
Ac -5.739 1.784 -2.332
Tm -4.448 -0.990 0.922
Se -3.164 5.739 2.897
Se -1.794 2.797 6.348
Se -5.829 4.120 -0.306
Se -1.735 5.352 -0.880
```